First-principles (PBE) data for HoHfAsO after structural relaxation, as listed in the Open Quantum Materials Database.

a b c (Å): 3.928 7.442 5.758
angles (deg): 90.00 90.00 90.00
Atoms (fractional coordinates):
Ho1 0.000 0.224 0.000
Ho2 0.000 0.776 0.500
Hf1 0.500 0.395 0.543
Hf2 0.500 0.605 0.043
As1 0.000 0.157 0.496
As2 0.000 0.843 0.996
O1 0.500 0.345 0.907
O2 0.500 0.655 0.407

space group: Pmc2_1, No. 26

***

First-principles (PBE) data for HoHfAsO after structural relaxation, as listed in the Open Quantum Materials Database.

a b c (Å): 4.130 4.130 8.683
angles (deg): 90.00 90.00 90.00
Atoms (fractional coordinates):
Ho1 0.250 0.250 0.114
Ho2 0.750 0.750 0.886
Hf1 0.250 0.750 0.500
Hf2 0.750 0.250 0.500
As1 0.250 0.250 0.699
As2 0.750 0.750 0.301
O1 0.250 0.750 0.000
O2 0.750 0.250 0.000

space group: P4/nmm, No. 129

***

It is found that the DFT total energy values, taken in the order of the records, are -7.764; -7.946 eV/atom.